No. 1
# MgZr2Zn, relaxed, DFT GGA-PBE
# - Energy above the most stable polymorph in this dataset: 117 meV per atom
# - Energy relative to the elements: 0.02 eV/f.u.
# - Calculated volume: 20.9 Å³/atom
data_MgZr2Zn
_chemical_formula_sum 'Mg2 Zr4 Zn2'
_cell_length_a 10.731
_cell_length_b 3.058
_cell_length_c 5.203
_cell_angle_alpha 90.00
_cell_angle_beta 102.24
_cell_angle_gamma 90.00
_space_group_name_H-M_alt 'C 1 2/m 1'
_space_group_IT_number 12
_space_group_name_Hall '-C 2y'
loop_
_atom_site_label
_atom_site_type_symbol
_atom_site_fract_x
_atom_site_fract_y
_atom_site_fract_z
Mg1 Mg 0.000 0.000 0.000
Zr1 Zr 0.240 0.000 0.739
Zn1 Zn 0.000 0.500 0.500

No. 2
# La8TbDy2, relaxed, DFT GGA-PBE
# - Energy above the most stable polymorph in this dataset: 0 meV per atom
# - Energy relative to the elements: 0.23 eV/f.u.
# - Calculated volume: 35.4 Å³/atom
data_La8TbDy2
_chemical_formula_sum 'La16 Tb2 Dy4'
_cell_length_a 18.722
_cell_length_b 5.230
_cell_length_c 8.243
_cell_angle_alpha 90.00
_cell_angle_beta 105.28
_cell_angle_gamma 90.00
_space_group_name_H-M_alt 'C 1 2/m 1'
_space_group_IT_number 12
_space_group_name_Hall '-C 2y'
loop_
_atom_site_label
_atom_site_type_symbol
_atom_site_fract_x
_atom_site_fract_y
_atom_site_fract_z
La1 La 0.047 0.000 0.227
La2 La 0.092 0.500 0.954
La3 La 0.137 0.000 0.685
La4 La 0.182 0.500 0.412
Tb1 Tb 0.000 0.500 0.500
Dy1 Dy 0.227 0.000 0.134